Entry from Alexandria via LeMat-Bulk: crystalline SbPb4Br at its relaxed geometry (PBEsol).

Unit cell a=6.371 b=6.371 c=6.371 alpha=60.00 beta=60.00 gamma=60.00
Sites, in units of the cell vectors:
Sb (0.000, 0.000, 0.000)
Pb (0.375, 0.375, 0.375)
Pb (0.375, 0.375, 0.876)
Pb (0.375, 0.876, 0.375)
Pb (0.876, 0.375, 0.375)
Br (0.750, 0.750, 0.750)

## Properties
Density ... 9357 kg/m³
Total energy ... -21.48 eV/cell
Formation energy without anion corrections ... 0.158 eV per atom